Ca2ZnOs: optimized geometry, PBE.

Cell: 4.3165 4.1756 5.7448 Å, 68.69 90.00 90.00°
Positions (direct):
Ca 0.5000 0.2672 0.3405
Ca 0.0000 0.9817 0.9114
Os 0.0000 0.6838 0.5072
Zn 0.5000 0.5674 0.7409

Values from the calculation:
The density of states at the Fermi level is 2.58 states/eV/f.u. The space-group type is Amm2. The calculation puts the spin magnetization at 0.00 μB/f.u. As for the total energy: -15.970 eV/f.u.